The following is a DFT calculation (GGA-PBE) of a relaxed Li3SeF crystal.

CIF file:
```
data_Li3SeF
_cell_length_a 4.862
_cell_length_b 5.627
_cell_length_c 5.628
_cell_angle_alpha 60.01
_cell_angle_beta 89.87
_cell_angle_gamma 89.63
_symmetry_space_group_name_H-M 'P -1'
_symmetry_Int_Tables_number 2
loop_
_symmetry_equiv_pos_as_xyz
'x,y,z'
'-x,-y,-z'
loop_
_atom_site_label
_atom_site_type_symbol
_atom_site_fract_x
_atom_site_fract_y
_atom_site_fract_z
Li1 Li 0.247 0.161 0.161
Li2 Li 0.249 0.161 0.677
Li3 Li 0.253 0.677 0.161
Se1 Se 0.250 0.667 0.667
F1 F 0.000 0.000 0.000
F2 F 0.500 0.000 0.000
```

- energy above the most stable polymorph in this dataset (meV per atom) = 59.4

***

The following is a DFT calculation (GGA-PBE) of a relaxed Sr3Tl4Zn2 crystal.

CIF file:
```
data_Sr3Tl4Zn2
_cell_length_a 11.808
_cell_length_b 5.001
_cell_length_c 9.764
_cell_angle_alpha 90.00
_cell_angle_beta 111.49
_cell_angle_gamma 90.00
_symmetry_space_group_name_H-M 'C 1 2/m 1'
_symmetry_Int_Tables_number 12
loop_
_symmetry_equiv_pos_as_xyz
'x,y,z'
'-x,-y,-z'
'-x,y,-z'
'x,-y,z'
'x+1/2,y+1/2,z'
'-x+1/2,-y+1/2,-z'
'-x+1/2,y+1/2,-z'
'x+1/2,-y+1/2,z'
loop_
_atom_site_label
_atom_site_type_symbol
_atom_site_fract_x
_atom_site_fract_y
_atom_site_fract_z
Sr1 Sr 0.000 0.000 0.000
Sr2 Sr 0.174 0.500 0.649
Tl1 Tl 0.031 0.000 0.358
Tl2 Tl 0.238 0.500 0.087
Zn1 Zn 0.097 0.500 0.271
```

- formation energy (eV/atom) = -0.305

***

The following is a DFT calculation (GGA-PBE) of a relaxed ThBiAu2 crystal.

CIF file:
```
data_ThBiAu2
_cell_length_a 4.640
_cell_length_b 4.640
_cell_length_c 4.596
_cell_angle_alpha 90.00
_cell_angle_beta 90.00
_cell_angle_gamma 90.00
_symmetry_space_group_name_H-M 'P 4/m m m'
_symmetry_Int_Tables_number 123
_symmetry_space_group_name_Hall '-P 4 2'
loop_
_atom_site_label
_atom_site_type_symbol
_atom_site_fract_x
_atom_site_fract_y
_atom_site_fract_z
Th1 Th 0.000 0.000 0.000
Bi1 Bi 0.500 0.500 0.000
Au1 Au 0.000 0.500 0.500
```

- formation energy (eV/atom) = -0.441

***

The following is a DFT calculation (GGA-PBE) of a relaxed AcGaSiSn crystal.

CIF file:
```
data_AcGaSiSn
_cell_length_a 7.448
_cell_length_b 7.448
_cell_length_c 7.448
_cell_angle_alpha 90.00
_cell_angle_beta 90.00
_cell_angle_gamma 90.00
_symmetry_space_group_name_H-M 'F -4 3 m'
_symmetry_Int_Tables_number 216
_symmetry_space_group_name_Hall 'F -4 2 3'
loop_
_atom_site_label
_atom_site_type_symbol
_atom_site_fract_x
_atom_site_fract_y
_atom_site_fract_z
Ac1 Ac 0.000 0.000 0.000
Ga1 Ga 0.250 0.250 0.750
Si1 Si 0.250 0.250 0.250
Sn1 Sn 0.000 0.000 0.500
```

- uncorrected energy (eV per atom) = -4.25

***

The following is a DFT calculation (GGA-PBE) of a relaxed ZrUPa2S5 crystal.

CIF file:
```
data_ZrUPa2S5
_cell_length_a 3.649
_cell_length_b 16.067
_cell_length_c 13.033
_cell_angle_alpha 90.00
_cell_angle_beta 90.00
_cell_angle_gamma 90.00
_symmetry_space_group_name_H-M 'C m c 21'
_symmetry_Int_Tables_number 36
loop_
_symmetry_equiv_pos_as_xyz
'x,y,z'
'-x,-y,z+1/2'
'-x,y,z'
'x,-y,z+1/2'
'x+1/2,y+1/2,z'
'-x+1/2,-y+1/2,z+1/2'
'-x+1/2,y+1/2,z'
'x+1/2,-y+1/2,z+1/2'
loop_
_atom_site_label
_atom_site_type_symbol
_atom_site_fract_x
_atom_site_fract_y
_atom_site_fract_z
Zr1 Zr 0.000 0.240 0.000
U1 U 0.000 0.446 0.407
Pa1 Pa 0.000 0.080 0.590
Pa2 Pa 0.000 0.134 0.268
S1 S 0.000 0.087 0.052
S2 S 0.000 0.248 0.648
S3 S 0.000 0.288 0.356
S4 S 0.000 0.389 0.934
S5 S 0.000 0.498 0.716
```

- uncorrected energy (eV per atom) = -8.01

***

The following is a DFT calculation (GGA-PBE) of a relaxed Dy2Er3S6 crystal.

CIF file:
```
data_Dy2Er3S6
_cell_length_a 6.728
_cell_length_b 11.606
_cell_length_c 6.701
_cell_angle_alpha 90.00
_cell_angle_beta 109.48
_cell_angle_gamma 90.00
_symmetry_space_group_name_H-M 'C 1 2/m 1'
_symmetry_Int_Tables_number 12
loop_
_symmetry_equiv_pos_as_xyz
'x,y,z'
'-x,-y,-z'
'-x,y,-z'
'x,-y,z'
'x+1/2,y+1/2,z'
'-x+1/2,-y+1/2,-z'
'-x+1/2,y+1/2,-z'
'x+1/2,-y+1/2,z'
loop_
_atom_site_label
_atom_site_type_symbol
_atom_site_fract_x
_atom_site_fract_y
_atom_site_fract_z
Dy1 Dy 0.000 0.165 0.000
Er1 Er 0.000 0.000 0.500
Er2 Er 0.000 0.337 0.500
S1 S 0.248 0.500 0.751
S2 S 0.249 0.167 0.746
```

- uncorrected energy (eV per atom) = -6.40

***

The following is a DFT calculation (GGA-PBE) of a relaxed LaAl2Re crystal.

CIF file:
```
data_LaAl2Re
_cell_length_a 3.418
_cell_length_b 5.102
_cell_length_c 9.613
_cell_angle_alpha 90.00
_cell_angle_beta 90.00
_cell_angle_gamma 90.00
_symmetry_space_group_name_H-M 'I m m m'
_symmetry_Int_Tables_number 71
_symmetry_space_group_name_Hall '-I 2 2'
loop_
_atom_site_label
_atom_site_type_symbol
_atom_site_fract_x
_atom_site_fract_y
_atom_site_fract_z
La1 La 0.000 0.000 0.000
Al1 Al 0.000 0.500 0.209
Re1 Re 0.000 0.000 0.500
```

- formation energy (eV/atom) = 0.132
- energy above the most stable polymorph in this dataset (meV per atom) = 303.9

***

The following is a DFT calculation (GGA-PBE) of a relaxed AcPrGdTh crystal.

CIF file:
```
data_AcPrGdTh
_cell_length_a 8.325
_cell_length_b 8.325
_cell_length_c 8.325
_cell_angle_alpha 90.00
_cell_angle_beta 90.00
_cell_angle_gamma 90.00
_symmetry_space_group_name_H-M 'F -4 3 m'
_symmetry_Int_Tables_number 216
_symmetry_space_group_name_Hall 'F -4 2 3'
loop_
_atom_site_label
_atom_site_type_symbol
_atom_site_fract_x
_atom_site_fract_y
_atom_site_fract_z
Ac1 Ac 0.000 0.000 0.000
Pr1 Pr 0.250 0.250 0.750
Gd1 Gd 0.250 0.250 0.250
Th1 Th 0.000 0.000 0.500
```

- formation energy (eV/atom) = 0.178

***

The following is a DFT calculation (GGA-PBE) of a relaxed Cs2Li2PrI6 crystal.

CIF file:
```
data_Cs2Li2PrI6
_cell_length_a 14.560
_cell_length_b 8.855
_cell_length_c 8.966
_cell_angle_alpha 90.00
_cell_angle_beta 113.49
_cell_angle_gamma 90.00
_symmetry_space_group_name_H-M 'C 1 2/m 1'
_symmetry_Int_Tables_number 12
loop_
_symmetry_equiv_pos_as_xyz
'x,y,z'
'-x,-y,-z'
'-x,y,-z'
'x,-y,z'
'x+1/2,y+1/2,z'
'-x+1/2,-y+1/2,-z'
'-x+1/2,y+1/2,-z'
'x+1/2,-y+1/2,z'
loop_
_atom_site_label
_atom_site_type_symbol
_atom_site_fract_x
_atom_site_fract_y
_atom_site_fract_z
Cs1 Cs 0.200 0.000 0.179
Li1 Li 0.062 0.500 0.268
Pr1 Pr 0.000 0.000 0.500
I1 I 0.050 0.250 0.786
I2 I 0.242 0.000 0.630
```

- uncorrected energy (eV per atom) = -3.05

***

The following is a DFT calculation (GGA-PBE) of a relaxed AsPd2PtAu crystal.

CIF file:
```
data_AsPd2PtAu
_cell_length_a 4.910
_cell_length_b 4.910
_cell_length_c 4.962
_cell_angle_alpha 90.00
_cell_angle_beta 90.00
_cell_angle_gamma 90.00
_symmetry_space_group_name_H-M 'P 4/m m m'
_symmetry_Int_Tables_number 123
_symmetry_space_group_name_Hall '-P 4 2'
loop_
_atom_site_label
_atom_site_type_symbol
_atom_site_fract_x
_atom_site_fract_y
_atom_site_fract_z
As1 As 0.000 0.000 0.000
Pd1 Pd 0.000 0.500 0.500
Pt1 Pt 0.500 0.500 0.000
Au1 Au 0.500 0.500 0.500
```

- formation energy (eV/atom) = 1.216

***

The following is a DFT calculation (GGA-PBE) of a relaxed HfTc2 crystal.

CIF file:
```
data_HfTc2
_cell_length_a 3.207
_cell_length_b 3.207
_cell_length_c 9.629
_cell_angle_alpha 90.00
_cell_angle_beta 90.00
_cell_angle_gamma 90.00
_symmetry_space_group_name_H-M 'I 4/m m m'
_symmetry_Int_Tables_number 139
_symmetry_space_group_name_Hall '-I 4 2'
loop_
_atom_site_label
_atom_site_type_symbol
_atom_site_fract_x
_atom_site_fract_y
_atom_site_fract_z
Hf1 Hf 0.000 0.000 0.000
Tc1 Tc 0.000 0.000 0.327
```

- formation energy (eV/atom) = -0.265
- energy above the most stable polymorph in this dataset (meV per atom) = 95.1

***

The following is a DFT calculation (GGA-PBE) of a relaxed BaAl2Ir crystal.

CIF file:
```
data_BaAl2Ir
_cell_length_a 5.631
_cell_length_b 5.631
_cell_length_c 15.182
_cell_angle_alpha 90.00
_cell_angle_beta 90.00
_cell_angle_gamma 90.00
_symmetry_space_group_name_H-M 'I 41/a m d'
_symmetry_Int_Tables_number 141
loop_
_symmetry_equiv_pos_as_xyz
'x,y,z'
'-x,-y,-z'
'-y+1/4,x+3/4,z+1/4'
'y+1/4,-x+3/4,-z+1/4'
'-x+1/2,-y,z+1/2'
'x+1/2,y,-z+1/2'
'y+1/4,-x+1/4,z+3/4'
'-y+1/4,x+1/4,-z+3/4'
'x,-y,-z'
'-x,y,z'
'-y+1/4,-x+1/4,-z+3/4'
'y+1/4,x+1/4,z+3/4'
'-x+1/2,y,-z+1/2'
'x+1/2,-y,z+1/2'
'y+1/4,x+3/4,-z+1/4'
'-y+1/4,-x+3/4,z+1/4'
'x+1/2,y+1/2,z+1/2'
'-x+1/2,-y+1/2,-z+1/2'
'-y+3/4,x+1/4,z+3/4'
'y+3/4,-x+1/4,-z+3/4'
'-x,-y+1/2,z'
'x,y+1/2,-z'
'y+3/4,-x+3/4,z+1/4'
'-y+3/4,x+3/4,-z+1/4'
'x+1/2,-y+1/2,-z+1/2'
'-x+1/2,y+1/2,z+1/2'
'-y+3/4,-x+3/4,-z+1/4'
'y+3/4,x+3/4,z+1/4'
'-x,y+1/2,-z'
'x,-y+1/2,z'
'y+3/4,x+1/4,-z+3/4'
'-y+3/4,-x+1/4,z+3/4'
loop_
_atom_site_label
_atom_site_type_symbol
_atom_site_fract_x
_atom_site_fract_y
_atom_site_fract_z
Ba1 Ba 0.000 0.250 0.375
Al1 Al 0.000 0.000 0.000
Ir1 Ir 0.000 0.250 0.875
```

- formation energy (eV/atom) = -0.324

***

| no. | V (Å³/f.u.) | DOS(E_F) (states/eV/atom) |
| --- | --- | --- |
| 1 | 66.7 | 0.00 |
| 2 | 268.2 | 0.46 |
| 3 | 98.9 | 0.53 |
| 4 | 103.3 | 0.89 |
| 5 | 191.0 | 1.36 |
| 6 | 246.6 | 0.35 |
| 7 | 83.8 | 0.44 |
| 8 | 144.3 | 2.26 |
| 9 | 530.1 | 0.23 |
| 10 | 119.6 | 1.03 |
| 11 | 49.5 | 0.66 |
| 12 | 120.4 | 0.97 |